The following is a DFT calculation (PBE) of a geometry-optimized YTm2Ni structure.

Lattice parameters (Å, degrees): 3.6124 11.9120 9.4216 90.00 90.00 90.00
Space group Cmcm (No. 63)
Asymmetric unit:
Y  0.0000  0.0792  0.2500 x4
Tm  0.0000  0.3623  0.0701 x8
Ni  0.0000  0.2362  0.7500 x4

Properties
Mass density, g cm⁻³: 7.953
D(E_F), states/eV per atom: 1.52
Energy above the lowest structure with this stoichiometry, meV per atom: 33.7
Magnetization, μB per formula unit: 0.2
Formation energy, eV per atom: -0.232
DFT total energy, eV/cell: -88.472